## w
Compound: Ac4Hg2P
Source: the Alexandria database
Functional: PBE-GGA
Structure: relaxed

Values from the calculation:
**Theoretical density**: 8.14 g/cm3

```
data_Ac4Hg2P
_cell_length_a 5.8661
_cell_length_b 5.8661
_cell_length_c 15.8900
_cell_angle_alpha 90.00
_cell_angle_beta 90.00
_cell_angle_gamma 90.00
_space_group_name_H-M_alt 'I 4/m m m'
_space_group_IT_number 139
_space_group_name_Hall '-I 4 2'
loop_
_atom_site_label
_atom_site_type_symbol
_atom_site_fract_x
_atom_site_fract_y
_atom_site_fract_z
Ac1 Ac 0.0000 0.0000 0.1887
Ac2 Ac 0.0000 0.5000 0.0000
Hg1 Hg 0.0000 0.0000 0.3894
P1 P 0.0000 0.0000 0.0000
```

***

## x
Compound: Ac4Hg2P
Source: the Alexandria database
Functional: PBE-GGA
Structure: relaxed

Values from the calculation:
**Theoretical density**: 8.90 g/cm3

```
data_Ac4Hg2P
_cell_length_a 14.4770
_cell_length_b 4.4091
_cell_length_c 9.4694
_cell_angle_alpha 90.00
_cell_angle_beta 124.15
_cell_angle_gamma 90.00
_space_group_name_H-M_alt 'C 1 2/m 1'
_space_group_IT_number 12
loop_
_space_group_symop_operation_xyz
'x,y,z'
'-x,-y,-z'
'-x,y,-z'
'x,-y,z'
'x+1/2,y+1/2,z'
'-x+1/2,-y+1/2,-z'
'-x+1/2,y+1/2,-z'
'x+1/2,-y+1/2,z'
loop_
_atom_site_label
_atom_site_type_symbol
_atom_site_fract_x
_atom_site_fract_y
_atom_site_fract_z
Ac1 Ac 0.0883 0.0000 0.3769
Ac2 Ac 0.1657 0.5000 0.0803
Hg1 Hg 0.1213 0.5000 0.6813
P1 P 0.0000 0.0000 0.0000
```

***

Which one sits at the top of the stability order? x does.

***

## w
Compound: AcHgP
Source: the Alexandria database
Functional: PBE-GGA
Structure: relaxed

Values from the calculation:
**Theoretical density**: 8.59 g/cm3

```
data_AcHgP
_cell_length_a 4.3732
_cell_length_b 4.3851
_cell_length_c 9.2420
_cell_angle_alpha 90.07
_cell_angle_beta 90.20
_cell_angle_gamma 90.10
_space_group_name_H-M_alt 'P -1'
_space_group_IT_number 2
loop_
_space_group_symop_operation_xyz
'x,y,z'
'-x,-y,-z'
loop_
_atom_site_label
_atom_site_type_symbol
_atom_site_fract_x
_atom_site_fract_y
_atom_site_fract_z
Ac1 Ac 0.2483 0.2491 0.3262
Hg1 Hg 0.2506 0.2502 0.9515
P1 P 0.2517 0.2509 0.6554
```

***

## x
Compound: AcHgP
Source: the Alexandria database
Functional: PBE-GGA
Structure: relaxed

Values from the calculation:
**Theoretical density**: 8.68 g/cm3

```
data_AcHgP
_cell_length_a 4.4780
_cell_length_b 4.4780
_cell_length_c 5.0497
_cell_angle_alpha 90.00
_cell_angle_beta 90.00
_cell_angle_gamma 120.00
_space_group_name_H-M_alt 'P 3 m 1'
_space_group_IT_number 156
loop_
_space_group_symop_operation_xyz
'x,y,z'
'-y,x-y,z'
'-x+y,-x,z'
'-y,-x,z'
'-x+y,y,z'
'x,x-y,z'
loop_
_atom_site_label
_atom_site_type_symbol
_atom_site_fract_x
_atom_site_fract_y
_atom_site_fract_z
Ac1 Ac 0.0000 0.0000 0.0000
Hg1 Hg 0.3333 0.6667 0.4244
P1 P 0.6667 0.3333 0.6887
```

***

Which one sits at the top of the stability order? w does.

***

## w
Compound: AcHgP2
Source: the Alexandria database
Functional: PBE-GGA
Structure: relaxed

Values from the calculation:
**Theoretical density**: 5.51 g/cm3

```
data_AcHgP2
_cell_length_a 4.7546
_cell_length_b 4.7546
_cell_length_c 22.6096
_cell_angle_alpha 90.00
_cell_angle_beta 90.00
_cell_angle_gamma 120.00
_space_group_name_H-M_alt 'R -3 m'
_space_group_IT_number 166
_space_group_name_Hall '-R 3 2"'
loop_
_atom_site_label
_atom_site_type_symbol
_atom_site_fract_x
_atom_site_fract_y
_atom_site_fract_z
Ac1 Ac 0.0000 0.0000 0.0000
Hg1 Hg 0.0000 0.0000 0.5000
P1 P 0.0000 0.0000 0.3945
```

***

## x
Compound: AcHgP2
Source: the Alexandria database
Functional: PBE-GGA
Structure: relaxed

Values from the calculation:
**Theoretical density**: 8.64 g/cm3

```
data_AcHgP2
_cell_length_a 4.8139
_cell_length_b 4.8139
_cell_length_c 4.0583
_cell_angle_alpha 90.00
_cell_angle_beta 90.00
_cell_angle_gamma 90.00
_space_group_name_H-M_alt 'P 4/m m m'
_space_group_IT_number 123
_space_group_name_Hall '-P 4 2'
loop_
_atom_site_label
_atom_site_type_symbol
_atom_site_fract_x
_atom_site_fract_y
_atom_site_fract_z
Ac1 Ac 0.0000 0.0000 0.0000
Hg1 Hg 0.5000 0.5000 0.0000
P1 P 0.0000 0.5000 0.5000
```

***

Which one sits at the top of the stability order? x does.

***

## w
Compound: AcHgPb
Source: the Alexandria database
Functional: PBE-GGA
Structure: relaxed

Values from the calculation:
**Theoretical density**: 11.00 g/cm3

```
data_AcHgPb
_cell_length_a 5.6292
_cell_length_b 5.6292
_cell_length_c 6.9795
_cell_angle_alpha 90.00
_cell_angle_beta 90.00
_cell_angle_gamma 120.00
_space_group_name_H-M_alt 'P 63/m m c'
_space_group_IT_number 194
_space_group_name_Hall '-P 6c 2c'
loop_
_atom_site_label
_atom_site_type_symbol
_atom_site_fract_x
_atom_site_fract_y
_atom_site_fract_z
Ac1 Ac 0.3333 0.6667 0.2500
Hg1 Hg 0.3333 0.6667 0.7500
Pb1 Pb 0.0000 0.0000 0.0000
```

***

## x
Compound: AcHgPb
Source: the Alexandria database
Functional: PBE-GGA
Structure: relaxed

Values from the calculation:
**Theoretical density**: 10.02 g/cm3

```
data_AcHgPb
_cell_length_a 7.4946
_cell_length_b 7.4946
_cell_length_c 7.4946
_cell_angle_alpha 90.00
_cell_angle_beta 90.00
_cell_angle_gamma 90.00
_space_group_name_H-M_alt 'F -4 3 m'
_space_group_IT_number 216
_space_group_name_Hall 'F -4 2 3'
loop_
_atom_site_label
_atom_site_type_symbol
_atom_site_fract_x
_atom_site_fract_y
_atom_site_fract_z
Ac1 Ac 0.0000 0.0000 0.0000
Hg1 Hg 0.2500 0.2500 0.7500
Pb1 Pb 0.0000 0.0000 0.5000
```

***

## y
Compound: AcHgPb
Source: the Alexandria database
Functional: PBE-GGA
Structure: relaxed

Values from the calculation:
**Theoretical density**: 10.66 g/cm3

```
data_AcHgPb
_cell_length_a 4.9895
_cell_length_b 4.9895
_cell_length_c 4.5851
_cell_angle_alpha 90.00
_cell_angle_beta 90.00
_cell_angle_gamma 120.00
_space_group_name_H-M_alt 'P 3 m 1'
_space_group_IT_number 156
loop_
_space_group_symop_operation_xyz
'x,y,z'
'-y,x-y,z'
'-x+y,-x,z'
'-y,-x,z'
'-x+y,y,z'
'x,x-y,z'
loop_
_atom_site_label
_atom_site_type_symbol
_atom_site_fract_x
_atom_site_fract_y
_atom_site_fract_z
Ac1 Ac 0.0000 0.0000 0.0000
Hg1 Hg 0.6667 0.3333 0.3677
Pb1 Pb 0.3333 0.6667 0.5652
```

***

## z
Compound: AcHgPb
Source: the Alexandria database
Functional: PBE-GGA
Structure: relaxed

Values from the calculation:
**Theoretical density**: 10.95 g/cm3

```
data_AcHgPb
_cell_length_a 5.3427
_cell_length_b 3.9800
_cell_length_c 9.0538
_cell_angle_alpha 90.00
_cell_angle_beta 90.00
_cell_angle_gamma 90.00
_space_group_name_H-M_alt 'P m m a'
_space_group_IT_number 51
loop_
_space_group_symop_operation_xyz
'x,y,z'
'-x,-y,-z'
'-x+1/2,-y,z'
'x+1/2,y,-z'
'x+1/2,-y,-z'
'-x+1/2,y,z'
'-x,y,-z'
'x,-y,z'
loop_
_atom_site_label
_atom_site_type_symbol
_atom_site_fract_x
_atom_site_fract_y
_atom_site_fract_z
Ac1 Ac 0.2500 0.0000 0.2409
Hg1 Hg 0.2500 0.5000 0.9255
Pb1 Pb 0.2500 0.5000 0.5901
```

***

Which one sits at the top of the stability order? w does.

***

## w
Compound: AcHgPb
Source: the Alexandria database
Functional: PBE-GGA
Structure: relaxed

Values from the calculation:
**Theoretical density**: 9.66 g/cm3

```
data_AcHgPb
_cell_length_a 4.4135
_cell_length_b 4.7205
_cell_length_c 5.2390
_cell_angle_alpha 90.00
_cell_angle_beta 90.00
_cell_angle_gamma 90.00
_space_group_name_H-M_alt 'P m m m'
_space_group_IT_number 47
loop_
_space_group_symop_operation_xyz
'x,y,z'
'-x,-y,-z'
'-x,-y,z'
'x,y,-z'
'x,-y,-z'
'-x,y,z'
'-x,y,-z'
'x,-y,z'
loop_
_atom_site_label
_atom_site_type_symbol
_atom_site_fract_x
_atom_site_fract_y
_atom_site_fract_z
Ac1 Ac 0.0000 0.0000 0.0000
Hg1 Hg 0.5000 0.0000 0.5000
Pb1 Pb 0.0000 0.5000 0.5000
```

***

## x
Compound: AcHgPb
Source: the Alexandria database
Functional: PBE-GGA
Structure: relaxed

Values from the calculation:
**Theoretical density**: 10.95 g/cm3

```
data_AcHgPb
_cell_length_a 3.9795
_cell_length_b 3.9795
_cell_length_c 12.1572
_cell_angle_alpha 90.00
_cell_angle_beta 90.00
_cell_angle_gamma 90.00
_space_group_name_H-M_alt 'I 4 m m'
_space_group_IT_number 107
_space_group_name_Hall 'I 4 -2'
loop_
_atom_site_label
_atom_site_type_symbol
_atom_site_fract_x
_atom_site_fract_y
_atom_site_fract_z
Ac1 Ac 0.0000 0.0000 0.0000
Hg1 Hg 0.0000 0.0000 0.3365
Pb1 Pb 0.0000 0.0000 0.6940
```

***

Which one sits at the top of the stability order? x does.

***

## w
Compound: Ac4HgPb2
Source: the Alexandria database
Functional: PBE-GGA
Structure: relaxed

Values from the calculation:
**Theoretical density**: 9.32 g/cm3

```
data_Ac4HgPb2
_cell_length_a 7.8610
_cell_length_b 7.8610
_cell_length_c 8.7791
_cell_angle_alpha 90.00
_cell_angle_beta 90.00
_cell_angle_gamma 90.00
_space_group_name_H-M_alt 'I 4/m m m'
_space_group_IT_number 139
_space_group_name_Hall '-I 4 2'
loop_
_atom_site_label
_atom_site_type_symbol
_atom_site_fract_x
_atom_site_fract_y
_atom_site_fract_z
Ac1 Ac 0.2500 0.2500 0.2500
Hg1 Hg 0.0000 0.0000 0.0000
Pb1 Pb 0.0000 0.5000 0.0000
```

***

## x
Compound: Ac4HgPb2
Source: the Alexandria database
Functional: PBE-GGA
Structure: relaxed

Values from the calculation:
**Theoretical density**: 9.40 g/cm3

```
data_Ac4HgPb2
_cell_length_a 6.8203
_cell_length_b 7.4343
_cell_length_c 11.1388
_cell_angle_alpha 90.00
_cell_angle_beta 107.68
_cell_angle_gamma 90.00
_space_group_name_H-M_alt 'P 1 21/m 1'
_space_group_IT_number 11
loop_
_space_group_symop_operation_xyz
'x,y,z'
'-x,-y,-z'
'-x,y+1/2,-z'
'x,-y+1/2,z'
loop_
_atom_site_label
_atom_site_type_symbol
_atom_site_fract_x
_atom_site_fract_y
_atom_site_fract_z
Ac1 Ac 0.9996 0.0111 0.2417
Ac2 Ac 0.3723 0.2500 0.0434
Ac3 Ac 0.4325 0.2500 0.6365
Hg1 Hg 0.4474 0.2500 0.3408
Pb1 Pb 0.1148 0.7500 0.5110
Pb2 Pb 0.2002 0.7500 0.0487
```

***

Which one sits at the top of the stability order? w does.

***

## w
Compound: Ac3Hg4Pb
Source: the Alexandria database
Functional: PBE-GGA
Structure: relaxed

Values from the calculation:
**Theoretical density**: 10.25 g/cm3

```
data_Ac3Hg4Pb
_cell_length_a 4.0529
_cell_length_b 8.1241
_cell_length_c 16.6368
_cell_angle_alpha 90.00
_cell_angle_beta 90.00
_cell_angle_gamma 90.00
_space_group_name_H-M_alt 'I m m m'
_space_group_IT_number 71
_space_group_name_Hall '-I 2 2'
loop_
_atom_site_label
_atom_site_type_symbol
_atom_site_fract_x
_atom_site_fract_y
_atom_site_fract_z
Ac1 Ac 0.0000 0.0000 0.0000
Ac2 Ac 0.0000 0.5000 0.1899
Hg1 Hg 0.0000 0.3047 0.3647
Pb1 Pb 0.0000 0.0000 0.5000
```

***

## x
Compound: Ac3Hg4Pb
Source: the Alexandria database
Functional: PBE-GGA
Structure: relaxed

Values from the calculation:
**Theoretical density**: 11.00 g/cm3

```
data_Ac3Hg4Pb
_cell_length_a 5.5438
_cell_length_b 5.5438
_cell_length_c 28.7596
_cell_angle_alpha 90.00
_cell_angle_beta 90.00
_cell_angle_gamma 120.00
_space_group_name_H-M_alt 'R -3 m'
_space_group_IT_number 166
_space_group_name_Hall '-R 3 2"'
loop_
_atom_site_label
_atom_site_type_symbol
_atom_site_fract_x
_atom_site_fract_y
_atom_site_fract_z
Ac1 Ac 0.0000 0.0000 0.0000
Ac2 Ac 0.0000 0.0000 0.2397
Hg1 Hg 0.0000 0.0000 0.1211
Hg2 Hg 0.0000 0.0000 0.3718
Pb1 Pb 0.0000 0.0000 0.5000
```

***

Which one sits at the top of the stability order? x does.

***

## w
Compound: AcHgPb3
Source: the Alexandria database
Functional: PBE-GGA
Structure: relaxed

Values from the calculation:
**Theoretical density**: 10.53 g/cm3

```
data_AcHgPb3
_cell_length_a 6.7366
_cell_length_b 6.8691
_cell_length_c 7.1921
_cell_angle_alpha 83.79
_cell_angle_beta 89.86
_cell_angle_gamma 89.99
_space_group_name_H-M_alt 'P -1'
_space_group_IT_number 2
loop_
_space_group_symop_operation_xyz
'x,y,z'
'-x,-y,-z'
loop_
_atom_site_label
_atom_site_type_symbol
_atom_site_fract_x
_atom_site_fract_y
_atom_site_fract_z
Ac1 Ac 0.2492 0.0370 0.2155
Hg1 Hg 0.2485 0.5217 0.3711
Pb1 Pb 0.0000 0.5000 0.0000
Pb2 Pb 0.2511 0.2242 0.7144
Pb3 Pb 0.2512 0.7823 0.6835
Pb4 Pb 0.5000 0.5000 0.0000
```

***

## x
Compound: AcHgPb3
Source: the Alexandria database
Functional: PBE-GGA
Structure: relaxed

Values from the calculation:
**Theoretical density**: 7.95 g/cm3

```
data_AcHgPb3
_cell_length_a 6.4538
_cell_length_b 6.4538
_cell_length_c 21.0444
_cell_angle_alpha 90.00
_cell_angle_beta 90.00
_cell_angle_gamma 90.00
_space_group_name_H-M_alt 'I -4 m 2'
_space_group_IT_number 119
_space_group_name_Hall 'I -4 -2'
loop_
_atom_site_label
_atom_site_type_symbol
_atom_site_fract_x
_atom_site_fract_y
_atom_site_fract_z
Ac1 Ac 0.0000 0.0000 0.2130
Hg1 Hg 0.0000 0.0000 0.5000
Hg2 Hg 0.0000 0.5000 0.7500
Pb1 Pb 0.0000 0.2485 0.6279
Pb2 Pb 0.0000 0.5000 0.1660
```

***

Which one sits at the top of the stability order? w does.